## TmAl8Ni4 (PBE)

Data for a geometry-optimized TmAl8Ni4 structure.

Total DFT energy (no corrections), eV/cell: -130.48
Energy of formation from the pure elements, eV per atom: -0.593
Size of the total moment, μB per cell: 0.0
Calculated density, Mg/m³: 5.499
Crystal system: tetragonal

a b c (Å): 8.5637 8.5637 5.1018
angles (deg): 90.00 90.00 90.00
Space group I4/mmm (No. 139)
Asymmetric unit:
Tm 0.0000 0.0000 0.0000
Al 0.0000 0.2215 0.5000
Al 0.0000 0.3434 0.0000
Ni 0.2500 0.2500 0.2500